Computed, not measured: a relaxed K3Ho2TlS6 crystal at the PBE level of DFT.

a = 6.993 Å, b = 6.993 Å, c = 7.758 Å
α = 98.63°, β = 98.63°, γ = 119.98°
Fractional coordinates of all 12 atoms:
S 0.270 0.270 0.797
S 0.405 0.068 0.203
S 0.595 0.932 0.797
S 0.730 0.730 0.203
S 0.068 0.405 0.203
S 0.932 0.595 0.797
Ho 0.667 0.333 0.000
Ho 0.333 0.667 0.000
K 0.165 0.835 0.500
K 0.500 0.500 0.500
K 0.835 0.165 0.500
Tl 0.000 0.000 0.000

Properties
**SG**: C2/m (12)
**VASP energy**: -4.7209 eV/atom